DFT (GGA-PBE) results for a relaxed FeAgW4 crystal.

**VASP energy**: -9.7636 eV per atom
**Volume**: 17.1 Å³ per atom
**SG**: F-43m
**Crystal system**: cubic

Lattice parameters (Å, degrees): 5.2505 5.2505 5.2505 60.00 60.00 60.00
Each line ends with the local moment (μB).
Atoms (fractional coordinates):
Fe 0.0000 0.0000 0.0000  2.50
Ag 0.7500 0.7500 0.7500  -0.04
W 0.3752 0.8743 0.3752  -0.12
W 0.8743 0.3752 0.3752  -0.12
W 0.3752 0.3752 0.8743  -0.12
W 0.3752 0.3752 0.3752  -0.12